(1)
! MgCd12Pd6 (PBE, relaxed); values from VASP
&SYSTEM
  ibrav = 0, nat = 19, ntyp = 3
/
ATOMIC_SPECIES
Cd 112.41 Cd.upf
Pd 106.42 Pd.upf
Mg 24.30 Mg.upf
CELL_PARAMETERS angstrom
-5.222 4.756 -2.278
-4.298 -5.758 1.858
1.338 2.774 6.753
ATOMIC_POSITIONS crystal
Cd 0.493 0.200 0.493
Cd 0.507 0.800 0.507
Cd 0.200 0.493 0.493
Pd 0.110 0.110 0.383
Cd 0.000 0.725 0.275
Pd 0.110 0.383 0.110
Pd 0.890 0.617 0.890
Cd 0.493 0.493 0.200
Cd 0.725 0.275 0.000
Mg 0.000 0.000 0.000
Pd 0.617 0.890 0.890
Cd 0.275 0.000 0.725
Cd 0.507 0.507 0.800
Cd 0.800 0.507 0.507
Pd 0.383 0.110 0.110
Cd 0.275 0.725 0.000
Cd 0.725 0.000 0.275
Cd 0.000 0.275 0.725
Pd 0.890 0.890 0.617
! - energy of formation (eV per formula unit) = -3.8
! - symmetry = R-3m
! - crystal system = trigonal
! - DOS at the Fermi energy (states/eV/cell) = 6.03

---

(2)
! MgCd5Pd6 (PBE, relaxed); values from VASP
&SYSTEM
  ibrav = 0, nat = 12, ntyp = 3
/
ATOMIC_SPECIES
Cd 112.41 Cd.upf
Pd 106.42 Pd.upf
Mg 24.30 Mg.upf
CELL_PARAMETERS angstrom
0.064 -4.512 -1.639
0.145 -2.078 5.726
-7.134 3.428 1.425
ATOMIC_POSITIONS crystal
Cd 0.668 0.000 0.334
Cd 0.000 0.500 0.000
Pd 0.834 0.752 0.671
Cd 0.332 0.500 0.666
Cd 0.668 0.500 0.334
Mg 0.000 0.000 0.000
Pd 0.166 0.248 0.329
Cd 0.332 0.000 0.666
Pd 0.500 0.245 0.000
Pd 0.500 0.755 0.000
Pd 0.834 0.248 0.671
Pd 0.166 0.752 0.329
! - energy of formation (eV per formula unit) = -5.6
! - symmetry = P2/m
! - crystal system = monoclinic
! - DOS at the Fermi energy (states/eV/cell) = 3.47

---

(3)
! Mg12Cd3Pd (PBE, relaxed); values from VASP
&SYSTEM
  ibrav = 0, nat = 16, ntyp = 3
/
ATOMIC_SPECIES
Mg 24.30 Mg.upf
Pd 106.42 Pd.upf
Cd 112.41 Cd.upf
CELL_PARAMETERS angstrom
-2.873 0.436 3.245
-3.236 -1.039 -2.725
2.055 -17.251 4.139
ATOMIC_POSITIONS crystal
Mg 0.000 0.500 0.372
Pd 0.000 0.000 0.000
Mg 0.500 0.500 0.758
Mg 0.500 0.000 0.628
Mg 0.500 0.000 0.372
Cd 0.000 0.000 0.500
Mg 0.000 0.500 0.628
Mg 0.500 0.500 0.500
Mg 0.000 0.500 0.111
Cd 0.000 0.000 0.757
Mg 0.500 0.000 0.889
Mg 0.500 0.000 0.111
Mg 0.000 0.500 0.889
Cd 0.000 0.000 0.243
Mg 0.500 0.500 0.000
Mg 0.500 0.500 0.242
! - energy of formation (eV per formula unit) = -2.2
! - symmetry = P4/mmm
! - crystal system = tetragonal
! - DOS at the Fermi energy (states/eV/cell) = 6.31

---

(4)
! MgCd6Pd2 (PBE, relaxed); values from VASP
&SYSTEM
  ibrav = 0, nat = 9, ntyp = 3
/
ATOMIC_SPECIES
Cd 112.41 Cd.upf
Pd 106.42 Pd.upf
Mg 24.30 Mg.upf
CELL_PARAMETERS angstrom
-0.744 2.929 -0.321
-5.120 -0.220 -4.533
-7.857 0.152 5.222
ATOMIC_POSITIONS crystal
Cd 0.028 0.645 0.298
Cd 0.250 0.624 0.876
Cd 0.750 0.376 0.124
Cd 0.332 0.785 0.551
Pd 0.631 0.984 0.754
Cd 0.668 0.215 0.449
Mg 0.000 0.000 0.000
Cd 0.972 0.355 0.702
Pd 0.369 0.016 0.246
! - energy of formation (eV per formula unit) = -2.1
! - symmetry = C2/m
! - crystal system = monoclinic
! - DOS at the Fermi energy (states/eV/cell) = 3.06

---

(5)
! Mg7Cd2Pd2 (PBE, relaxed); values from VASP
&SYSTEM
  ibrav = 0, nat = 11, ntyp = 3
/
ATOMIC_SPECIES
Mg 24.30 Mg.upf
Cd 112.41 Cd.upf
Pd 106.42 Pd.upf
CELL_PARAMETERS angstrom
-5.366 4.233 -1.169
-1.038 -2.716 -4.123
-2.504 -5.228 3.805
ATOMIC_POSITIONS crystal
Mg 0.574 0.251 0.426
Cd 0.811 0.500 0.811
Mg 0.441 0.247 0.898
Mg 0.426 0.749 0.574
Mg 0.102 0.247 0.559
Pd 0.804 0.273 0.196
Mg 0.898 0.753 0.441
Pd 0.196 0.727 0.804
Mg 0.559 0.753 0.102
Mg 0.000 0.000 0.000
Cd 0.189 0.500 0.189
! - energy of formation (eV per formula unit) = -2.8
! - symmetry = C2/m
! - crystal system = monoclinic
! - DOS at the Fermi energy (states/eV/cell) = 2.87

---

(6)
! MgCd4Pd (PBE, relaxed); values from VASP
&SYSTEM
  ibrav = 0, nat = 12, ntyp = 3
/
ATOMIC_SPECIES
Cd 112.41 Cd.upf
Pd 106.42 Pd.upf
Mg 24.30 Mg.upf
CELL_PARAMETERS angstrom
-0.072 -0.128 -4.814
3.639 -6.175 2.521
-6.702 -3.867 0.202
ATOMIC_POSITIONS crystal
Cd 0.875 0.234 0.565
Cd 0.875 0.234 0.935
Pd 0.060 0.605 0.750
Cd 0.536 0.588 0.250
Cd 0.266 0.015 0.750
Mg 0.657 0.799 0.750
Cd 0.125 0.766 0.435
Pd 0.940 0.395 0.250
Cd 0.464 0.412 0.750
Cd 0.125 0.766 0.065
Cd 0.734 0.985 0.250
Mg 0.343 0.201 0.250
! - energy of formation (eV per formula unit) = -0.8
! - symmetry = P2_1/m
! - crystal system = monoclinic
! - DOS at the Fermi energy (states/eV/cell) = 4.39
! - energy above the lowest structure with this stoichiometry (meV per atom) = 70

---

(7)
! Mg2CdPd3 (PBE, relaxed); values from VASP
&SYSTEM
  ibrav = 0, nat = 6, ntyp = 3
/
ATOMIC_SPECIES
Mg 24.30 Mg.upf
Cd 112.41 Cd.upf
Pd 106.42 Pd.upf
CELL_PARAMETERS angstrom
3.524 0.000 0.000
0.000 4.109 -1.360
0.000 -0.005 6.873
ATOMIC_POSITIONS crystal
Mg 0.000 0.334 0.669
Cd 0.000 0.000 0.000
Pd 0.500 0.171 0.342
Pd 0.500 0.829 0.658
Mg 0.000 0.666 0.331
Pd 0.500 0.500 0.000
! - energy of formation (eV per formula unit) = -3.8
! - symmetry = Cmmm
! - crystal system = orthorhombic
! - DOS at the Fermi energy (states/eV/cell) = 1.35
! - energy above the lowest structure with this stoichiometry (meV per atom) = 0

---

(8)
! MgCd5Pd4 (PBE, relaxed); values from VASP
&SYSTEM
  ibrav = 0, nat = 10, ntyp = 3
/
ATOMIC_SPECIES
Pd 106.42 Pd.upf
Cd 112.41 Cd.upf
Mg 24.30 Mg.upf
CELL_PARAMETERS angstrom
3.360 0.000 0.000
0.000 3.360 0.000
0.000 0.000 16.068
ATOMIC_POSITIONS crystal
Pd 0.000 0.000 0.597
Cd 0.500 0.500 0.695
Cd 0.500 0.500 0.500
Pd 0.000 0.000 0.403
Cd 0.500 0.500 0.110
Pd 0.000 0.000 0.206
Cd 0.500 0.500 0.305
Mg 0.000 0.000 0.000
Pd 0.000 0.000 0.794
Cd 0.500 0.500 0.890
! - energy of formation (eV per formula unit) = -3.5
! - symmetry = P4/mmm
! - crystal system = tetragonal
! - DOS at the Fermi energy (states/eV/cell) = 2.58

---

(9)
! Mg3Cd2Pd7 (PBE, relaxed); values from VASP
&SYSTEM
  ibrav = 0, nat = 12, ntyp = 3
/
ATOMIC_SPECIES
Mg 24.30 Mg.upf
Pd 106.42 Pd.upf
Cd 112.41 Cd.upf
CELL_PARAMETERS angstrom
4.435 0.000 0.000
0.000 4.481 -0.890
0.000 -0.143 11.006
ATOMIC_POSITIONS crystal
Mg 0.500 0.500 0.000
Pd 0.000 0.718 0.437
Pd 0.500 0.073 0.146
Cd 0.000 0.150 0.300
Pd 0.000 0.000 0.000
Pd 0.000 0.423 0.846
Pd 0.000 0.282 0.563
Mg 0.500 0.652 0.305
Mg 0.500 0.348 0.695
Cd 0.000 0.850 0.700
Pd 0.000 0.577 0.154
Pd 0.500 0.927 0.854
! - energy of formation (eV per formula unit) = -5.0
! - symmetry = Cmmm
! - crystal system = orthorhombic
! - DOS at the Fermi energy (states/eV/cell) = 2.94

---

(10)
! Mg2Cd3Pd4 (PBE, relaxed); values from VASP
&SYSTEM
  ibrav = 0, nat = 9, ntyp = 3
/
ATOMIC_SPECIES
Pd 106.42 Pd.upf
Cd 112.41 Cd.upf
Mg 24.30 Mg.upf
CELL_PARAMETERS angstrom
-3.182 -0.776 -2.911
-2.561 -3.927 0.551
-5.767 3.412 5.388
ATOMIC_POSITIONS crystal
Pd 0.995 0.011 0.674
Pd 0.667 0.665 0.891
Cd 0.663 0.675 0.565
Mg 0.669 0.661 0.210
Cd 0.000 0.000 0.000
Mg 0.331 0.339 0.790
Pd 0.005 0.989 0.326
Cd 0.337 0.325 0.435
Pd 0.333 0.335 0.109
! - energy of formation (eV per formula unit) = -4.4
! - symmetry = P-1
! - crystal system = triclinic
! - DOS at the Fermi energy (states/eV/cell) = 3.03

---

(11)
! MgCdPd2 (PBE, relaxed); values from VASP
&SYSTEM
  ibrav = 0, nat = 4, ntyp = 3
/
ATOMIC_SPECIES
Pd 106.42 Pd.upf
Mg 24.30 Mg.upf
Cd 112.41 Cd.upf
CELL_PARAMETERS angstrom
4.587 0.000 0.000
2.294 3.973 0.000
2.294 1.324 3.747
ATOMIC_POSITIONS crystal
Pd 0.250 0.250 0.250
Mg 0.750 0.750 0.750
Pd 0.000 0.000 0.000
Cd 0.500 0.500 0.500
! - energy of formation (eV per formula unit) = -1.7
! - symmetry = F-43m
! - crystal system = cubic
! - DOS at the Fermi energy (states/eV/cell) = 1.89

---

(12)
! Mg2Cd5Pd (PBE, relaxed); values from VASP
&SYSTEM
  ibrav = 0, nat = 16, ntyp = 3
/
ATOMIC_SPECIES
Pd 106.42 Pd.upf
Cd 112.41 Cd.upf
Mg 24.30 Mg.upf
CELL_PARAMETERS angstrom
-2.680 -0.978 1.628
-2.998 -2.520 -6.446
5.572 -11.858 2.045
ATOMIC_POSITIONS crystal
Pd 0.000 0.000 0.500
Cd 0.500 0.280 0.879
Mg 0.500 0.212 0.615
Cd 0.500 0.720 0.121
Cd 0.000 0.505 0.269
Mg 0.500 0.788 0.385
Cd 0.000 0.495 0.731
Cd 0.500 0.780 0.621
Mg 0.500 0.288 0.115
Cd 0.500 0.220 0.379
Cd 0.000 0.005 0.231
Cd 0.000 0.995 0.769
Cd 0.000 0.500 0.500
Pd 0.000 0.500 0.000
Cd 0.000 0.000 0.000
Mg 0.500 0.712 0.885
! - energy of formation (eV per formula unit) = -1.5
! - symmetry = Pbam
! - crystal system = orthorhombic
! - DOS at the Fermi energy (states/eV/cell) = 5.23
! - energy above the lowest structure with this stoichiometry (meV per atom) = 0

---

Please write out number 6 again, unchanged.
! MgCd4Pd (PBE, relaxed); values from VASP
&SYSTEM
  ibrav = 0, nat = 12, ntyp = 3
/
ATOMIC_SPECIES
Cd 112.41 Cd.upf
Pd 106.42 Pd.upf
Mg 24.30 Mg.upf
CELL_PARAMETERS angstrom
-0.072 -0.128 -4.814
3.639 -6.175 2.521
-6.702 -3.867 0.202
ATOMIC_POSITIONS crystal
Cd 0.875 0.234 0.565
Cd 0.875 0.234 0.935
Pd 0.060 0.605 0.750
Cd 0.536 0.588 0.250
Cd 0.266 0.015 0.750
Mg 0.657 0.799 0.750
Cd 0.125 0.766 0.435
Pd 0.940 0.395 0.250
Cd 0.464 0.412 0.750
Cd 0.125 0.766 0.065
Cd 0.734 0.985 0.250
Mg 0.343 0.201 0.250
! - energy of formation (eV per formula unit) = -0.8
! - symmetry = P2_1/m
! - crystal system = monoclinic
! - DOS at the Fermi energy (states/eV/cell) = 4.39
! - energy above the lowest structure with this stoichiometry (meV per atom) = 70

---

Which of these has the highest DOS at the Fermi energy?
Mg12Cd3Pd

---

Repeat the fifth record exactly.
! Mg7Cd2Pd2 (PBE, relaxed); values from VASP
&SYSTEM
  ibrav = 0, nat = 11, ntyp = 3
/
ATOMIC_SPECIES
Mg 24.30 Mg.upf
Cd 112.41 Cd.upf
Pd 106.42 Pd.upf
CELL_PARAMETERS angstrom
-5.366 4.233 -1.169
-1.038 -2.716 -4.123
-2.504 -5.228 3.805
ATOMIC_POSITIONS crystal
Mg 0.574 0.251 0.426
Cd 0.811 0.500 0.811
Mg 0.441 0.247 0.898
Mg 0.426 0.749 0.574
Mg 0.102 0.247 0.559
Pd 0.804 0.273 0.196
Mg 0.898 0.753 0.441
Pd 0.196 0.727 0.804
Mg 0.559 0.753 0.102
Mg 0.000 0.000 0.000
Cd 0.189 0.500 0.189
! - energy of formation (eV per formula unit) = -2.8
! - symmetry = C2/m
! - crystal system = monoclinic
! - DOS at the Fermi energy (states/eV/cell) = 2.87